# 1
! PBE K5AcS4, relaxed; values from VASP
! **SG**: No. 12
&SYSTEM
  ibrav = 0, nat = 10, ntyp = 3
/
ATOMIC_SPECIES
K 39.10 K.upf
Ac 227.00 Ac.upf
S 32.06 S.upf
CELL_PARAMETERS angstrom
-1.237 -0.430 4.462
-5.488 -6.055 -2.106
9.591 -2.789 -0.032
ATOMIC_POSITIONS crystal
K 0.826 0.586 0.652
K 0.827 0.068 0.653
K 0.173 0.932 0.347
K 0.500 0.500 0.000
K 0.174 0.414 0.348
Ac 0.500 0.000 0.000
S 0.320 0.820 0.640
S 0.000 0.764 0.000
S 0.680 0.180 0.360
S 0.000 0.236 0.000



# 2
! PBE KAc2SbS6, relaxed; values from VASP
! **SG**: No. 146
&SYSTEM
  ibrav = 0, nat = 10, ntyp = 4
/
ATOMIC_SPECIES
K 39.10 K.upf
Ac 227.00 Ac.upf
Sb 121.76 Sb.upf
S 32.06 S.upf
CELL_PARAMETERS angstrom
-2.036 6.969 -1.354
-1.859 2.039 -6.850
-7.337 1.468 -1.553
ATOMIC_POSITIONS crystal
K 0.805 0.805 0.586
Ac 0.529 0.529 0.412
Ac 0.018 0.018 0.945
Sb 0.325 0.325 0.025
S 0.563 0.214 0.243
S 0.214 0.980 0.243
S 0.980 0.563 0.243
S 0.406 0.678 0.773
S 0.678 0.143 0.773
S 0.143 0.406 0.773



no.,uncorrected formation energy (kJ/mol of formula units),energy (eV per atom)
1,-1289,-3.946
2,-1185,-5.048